NaV2CrO8: optimized geometry, GGA+U.

Computed properties:
energy: -80.04 eV per formula unit
mass density: 3585 kg/m3
magnetization: 1.0 μB/cell

Lattice parameters (Å, degrees): 5.7007 5.7007 5.7007 106.29 106.29 116.03
Closest atoms and distances in Å follow each position.
Sites, in units of the cell vectors:
Na: 0.0000 0.0000 0.0000  8 O 2.22-2.48
O: 0.3353 0.1252 0.7899  1 V 1.75
Cr: 0.2500 0.7500 0.5000  8 O 2.05-2.15
V: 0.7500 0.2500 0.5000  4 O 1.74
O: 0.4546 0.6647 0.7899  1 V 1.75
O: 0.7223 0.0444 0.6779  1 V 1.74
O: 0.3665 0.0444 0.3221  1 V 1.74
V: 0.5000 0.5000 0.0000  4 O 1.75
O: 0.3353 0.5454 0.2101  1 V 1.75
O: 0.9556 0.6335 0.6779  1 V 1.74
O: 0.8748 0.6647 0.2101  1 V 1.75
O: 0.9556 0.2777 0.3221  1 V 1.74